No. 1
Density functional theory data (GGA-PBE) for a geometry-optimized Ba2Al3In4Ag structure.

Summary:
SG: P-4m2 (115)
Energy of formation from the pure elements (eV/atom): -0.279

Structure (POSCAR):
```
Ba2Al3In4Ag
1.0
4.799 0.000 0.000
0.000 4.799 0.000
0.000 0.000 11.780
Ba Al In Ag
2 3 4 1
direct
0.000 0.500 0.249 Ba
0.500 0.000 0.751 Ba
0.000 0.000 0.000 Al
0.000 0.500 0.635 Al
0.500 0.000 0.365 Al
0.000 0.000 0.500 In
0.000 0.500 0.870 In
0.500 0.000 0.130 In
0.500 0.500 0.500 In
0.500 0.500 0.000 Ag
```

=====

No. 2
Density functional theory data (GGA-PBE) for a geometry-optimized Be2GeB2 structure.

Summary:
SG: I4/mmm (139)
Energy of formation from the pure elements (eV/atom): 0.478
Energy above the lowest structure with this stoichiometry (eV per atom): 0.000

Structure (POSCAR):
```
Be2GeB2
1.0
2.723 0.000 0.000
0.000 2.723 0.000
0.000 0.000 13.250
Be Ge B
4 2 4
direct
0.000 0.000 0.142 Be
0.000 0.000 0.858 Be
0.500 0.500 0.358 Be
0.500 0.500 0.642 Be
0.000 0.000 0.500 Ge
0.500 0.500 0.000 Ge
0.000 0.500 0.250 B
0.000 0.500 0.750 B
0.500 0.000 0.250 B
0.500 0.000 0.750 B
```

=====

Number 1: size of the total moment 0.00 μB per formula unit. Number 2: size of the total moment 0.00 μB per formula unit.